Sr4CuSb (PBE, relaxed); density of states at the Fermi level = 7.4 states/eV per cell; E = -2.054 eV/atom; mass density = 3.667 g/cm3; energy relative to the elements, uncorrected = 0.437 eV/atom
1.0
-3.084 1.705 6.049
-0.319 6.702 1.999
-6.135 3.372 -0.027
Sb Cu Sr
1 1 4
Cartesian
0.000 0.000 0.000 Sb
-7.154 8.834 6.016 Cu
-6.658 6.105 2.987 Sr
-3.729 7.781 4.007 Sr
-3.568 4.407 3.001 Sr
-5.121 5.265 6.047 Sr

Sr4Cu3Sb8 (PBE, relaxed); density of states at the Fermi level = 9.0 states/eV per cell; E = -3.960 eV/atom; mass density = 5.949 g/cm3; energy relative to the elements, uncorrected = -0.494 eV/atom
1.0
-1.374 -2.323 -3.534
-1.977 -2.932 2.696
-17.985 11.565 -0.613
Sb Cu Sr
8 3 4
Cartesian
-4.407 2.834 -0.150 Sb
-17.937 9.432 0.771 Sb
-8.777 3.542 1.083 Sb
-1.723 -0.495 -1.802 Sb
-15.144 6.033 -0.878 Sb
-10.883 5.395 -2.114 Sb
-6.192 0.277 -0.573 Sb
-13.578 8.731 -0.463 Sb
-10.668 3.155 -0.725 Cu
0.000 0.000 0.000 Cu
-8.992 5.782 -0.306 Cu
-3.135 -0.086 1.275 Sr
-12.198 5.742 0.966 Sr
-16.526 9.023 -2.306 Sr
-7.462 3.195 -1.998 Sr

SrCu2TcSb (PBE, relaxed); density of states at the Fermi level = 5.4 states/eV per cell; E = -3.886 eV/atom; mass density = 5.688 g/cm3; energy relative to the elements, uncorrected = 0.987 eV/atom
1.0
-3.158 1.258 3.401
1.282 -4.505 2.857
3.447 2.439 2.299
Cu Sr Sb Tc
2 1 1 1
Cartesian
1.724 1.220 1.150 Cu
-1.579 0.629 1.700 Cu
0.641 -2.252 1.428 Sr
0.786 -0.404 4.278 Sb
0.000 0.000 0.000 Tc